Entry 1:
Material: Ba2SbPt
Method: DFT, SCAN
State: PBEsol geometry

Unit cell a=6.5346 b=7.1170 c=7.1170 alpha=77.83 beta=62.67 gamma=62.67
Fractional coordinates of all 8 atoms:
Pt  0.7500  0.5000  0.5000
Pt  0.0000  0.0000  0.0000
Sb  0.5000  0.0000  0.0000
Sb  0.2500  0.5000  0.5000
Ba  0.8750  0.0524  0.4476
Ba  0.0726  0.5524  0.0524
Ba  0.3750  0.9476  0.5524
Ba  0.6774  0.4476  0.9476

## Properties
crystal system: tetragonal
ΔE_f (raw): -0.65 eV/atom
M_tot: 0.000 μB per formula unit
space-group type: I-42d (122)


Entry 2:
Material: BaSb2Pt
Method: DFT, SCAN
State: PBEsol geometry

Unit cell a=4.3042 b=5.2879 c=6.1488 alpha=112.01 beta=90.00 gamma=114.02
Fractional coordinates of all 4 atoms:
Pt  0.7193  0.4386  0.0797
Sb  0.0457  0.0914  0.0752
Sb  0.2710  0.5420  0.8549
Ba  0.4640  0.9279  0.4902

## Properties
crystal system: monoclinic
ΔE_f (raw): -0.69 eV/atom
M_tot: 0.000 μB per formula unit
space-group type: Cm (8)


Entry 3:
Material: BaSb2Pt
Method: DFT, SCAN
State: PBEsol geometry

Unit cell a=4.2998 b=5.1779 c=5.3461 alpha=106.74 beta=90.00 gamma=90.00
Fractional coordinates of all 4 atoms:
Pt  0.5000  0.5000  0.0000
Sb  0.0000  0.2931  0.1690
Sb  0.0000  0.7069  0.8310
Ba  0.5000  0.0000  0.5000

## Properties
crystal system: monoclinic
ΔE_f (raw): -0.92 eV/atom
M_tot: 0.000 μB per formula unit
space-group type: P2/m (10)


Entry 4:
Material: BaSc3Pt
Method: DFT, SCAN
State: PBEsol geometry

Unit cell a=5.0390 b=5.0390 c=5.0390 alpha=90.00 beta=90.00 gamma=90.00
Fractional coordinates of all 5 atoms:
Sc  0.0000  0.0000  0.5000
Sc  0.0000  0.5000  0.0000
Sc  0.5000  0.0000  0.0000
Pt  0.5000  0.5000  0.5000
Ba  0.0000  0.0000  0.0000

## Properties
crystal system: cubic
M_tot: 0.000 μB per formula unit
total DFT energy (no corrections): -29.13 eV/atom
space-group type: Pm-3m (221)


Entry 5:
Material: BaSc2Pt
Method: DFT, SCAN
State: PBEsol geometry

Unit cell a=3.8400 b=4.9760 c=4.9377 alpha=90.00 beta=90.00 gamma=90.00
Fractional coordinates of all 4 atoms:
Sc  0.5000  0.5000  0.0000
Sc  0.0000  0.0000  0.0000
Ba  0.5000  0.0000  0.5000
Pt  0.0000  0.5000  0.5000

## Properties
energy above the lowest structure with this stoichiometry: 509 meV per atom
crystal system: orthorhombic
M_tot: 0.000 μB per formula unit
space-group type: Pmmm (47)


Entry 6:
Material: BaSc2Pt
Method: DFT, SCAN
State: PBEsol geometry

Unit cell a=4.2632 b=4.2632 c=7.7363 alpha=74.01 beta=74.01 gamma=60.00
Fractional coordinates of all 4 atoms:
Pt  0.0000  0.0000  0.0000
Sc  0.2882  0.2882  0.1355
Sc  0.7118  0.7118  0.8645
Ba  0.5000  0.5000  0.5000

## Properties
energy above the lowest structure with this stoichiometry: 0 meV per atom
crystal system: trigonal
M_tot: 0.000 μB per formula unit
space-group type: R-3m (166)


Entry 7:
Material: BaScPt2
Method: DFT, SCAN
State: PBEsol geometry

Unit cell a=4.2132 b=4.2132 c=5.6436 alpha=111.92 beta=111.92 gamma=90.00
Fractional coordinates of all 4 atoms:
Sc  0.5000  0.5000  0.0000
Pt  0.7500  0.2500  0.5000
Pt  0.0000  0.0000  0.0000
Ba  0.2500  0.7500  0.5000

## Properties
energy above the lowest structure with this stoichiometry: 240 meV per atom
crystal system: tetragonal
M_tot: 0.000 μB per formula unit
space-group type: I-4m2 (119)


Entry 8:
Material: BaScPt2
Method: DFT, SCAN
State: PBEsol geometry

Unit cell a=4.5370 b=5.1131 c=5.1131 alpha=65.91 beta=63.66 gamma=63.66
Fractional coordinates of all 4 atoms:
Ba  0.0000  0.5000  0.5000
Sc  0.5000  0.0000  0.0000
Pt  0.2074  0.7926  0.7926
Pt  0.7926  0.2074  0.2074

## Properties
energy above the lowest structure with this stoichiometry: 0 meV per atom
crystal system: orthorhombic
M_tot: 0.000 μB per formula unit
space-group type: Immm (71)


Entry 9:
Material: BaSc2Pt
Method: DFT, SCAN
State: PBEsol geometry

Unit cell a=4.3397 b=4.3397 c=5.9361 alpha=111.44 beta=111.44 gamma=90.00
Each line ends with the local moment (μB).
Fractional coordinates of all 4 atoms:
Pt  0.0000  0.0000  0.0000  0.02
Sc  0.2500  0.7500  0.5000  0.51
Sc  0.7500  0.2500  0.5000  0.51
Ba  0.5000  0.5000  0.0000  0.05

## Properties
energy above the lowest structure with this stoichiometry: 566 meV per atom
crystal system: tetragonal
M_tot: 1.581 μB per formula unit
space-group type: I4/mmm (139)


Entry 10:
Material: BaSc2Pt
Method: DFT, SCAN
State: PBEsol geometry

Unit cell a=4.9736 b=4.9736 c=4.9736 alpha=60.00 beta=60.00 gamma=60.00
Fractional coordinates of all 4 atoms:
Pt  0.5000  0.5000  0.5000
Ba  0.0000  0.0000  0.0000
Sc  0.7500  0.7500  0.7500
Sc  0.2500  0.2500  0.2500

## Properties
energy above the lowest structure with this stoichiometry: 364 meV per atom
crystal system: cubic
M_tot: 0.000 μB per formula unit
space-group type: Fm-3m (225)


Entry 11:
Material: BaSc2Pt2
Method: DFT, SCAN
State: PBEsol geometry

Unit cell a=4.5134 b=4.5134 c=6.6044 alpha=109.98 beta=109.98 gamma=90.00
Fractional coordinates of all 5 atoms:
Sc  0.2500  0.7500  0.5000
Sc  0.7500  0.2500  0.5000
Pt  0.3790  0.3790  0.7579
Pt  0.6210  0.6210  0.2421
Ba  0.0000  0.0000  0.0000

## Properties
crystal system: tetragonal
M_tot: 0.000 μB per formula unit
total DFT energy (no corrections): -42.79 eV/atom
space-group type: I4/mmm (139)


Entry 12:
Material: BaSc2PtW
Method: DFT, SCAN
State: PBEsol geometry

Unit cell a=5.0437 b=5.0452 c=5.0452 alpha=90.00 beta=90.00 gamma=90.00
Each line ends with the local moment (μB).
Fractional coordinates of all 5 atoms:
W  0.5000  0.5000  0.5000  2.58
Sc  0.0000  0.5000  0.0000  -0.13
Sc  0.0000  0.0000  0.5000  -0.13
Ba  0.0000  0.0000  0.0000  -0.15
Pt  0.5000  0.0000  0.0000  0.01

## Properties
crystal system: tetragonal
M_tot: 3.072 μB per formula unit
total DFT energy (no corrections): -39.39 eV/atom
space-group type: P4/mmm (123)


Entry 13:
Material: BaSi2Pt
Method: DFT, SCAN
State: PBEsol geometry

Unit cell a=4.1416 b=4.7812 c=5.0702 alpha=94.85 beta=90.00 gamma=90.00
Fractional coordinates of all 4 atoms:
Ba  0.5000  0.0000  0.5000
Si  0.0000  0.2434  0.0279
Si  0.0000  0.7566  0.9721
Pt  0.5000  0.5000  0.0000

## Properties
crystal system: monoclinic
ΔE_f (raw): -0.73 eV/atom
M_tot: 0.000 μB per formula unit
space-group type: P2/m (10)


Entry 14:
Material: BaSiPt
Method: DFT, SCAN
State: PBEsol geometry

Unit cell a=6.6268 b=6.6268 c=6.6268 alpha=90.00 beta=90.00 gamma=90.00
Fractional coordinates of all 12 atoms:
Si  0.3461  0.6539  0.1539
Si  0.1539  0.3461  0.6539
Si  0.8461  0.8461  0.8461
Si  0.6539  0.1539  0.3461
Pt  0.5929  0.9071  0.0929
Pt  0.9071  0.0929  0.5929
Pt  0.4071  0.4071  0.4071
Pt  0.0929  0.5929  0.9071
Ba  0.1344  0.1344  0.1344
Ba  0.6344  0.3656  0.8656
Ba  0.3656  0.8656  0.6344
Ba  0.8656  0.6344  0.3656

## Properties
crystal system: cubic
ΔE_f (raw): -1.10 eV/atom
M_tot: 0.000 μB per formula unit
space-group type: P2_13 (198)


Entry 15:
Material: Ba2SiPt
Method: DFT, SCAN
State: PBEsol geometry

Unit cell a=3.8050 b=5.4899 c=5.4899 alpha=96.07 beta=90.00 gamma=90.00
Fractional coordinates of all 4 atoms:
Pt  0.5000  0.0000  0.0000
Ba  0.0000  0.5000  0.0000
Ba  0.0000  0.0000  0.5000
Si  0.5000  0.5000  0.5000

## Properties
crystal system: orthorhombic
ΔE_f (raw): -0.31 eV/atom
M_tot: 0.000 μB per formula unit
space-group type: Cmmm (65)


Entry 16:
Material: BaSi2Pt
Method: DFT, SCAN
State: PBEsol geometry

Unit cell a=4.1322 b=4.1206 c=6.3908 alpha=108.87 beta=90.00 gamma=120.09
Fractional coordinates of all 4 atoms:
Si  0.7941  0.5883  0.8808
Si  0.2059  0.4117  0.1192
Pt  0.5000  0.0000  0.0000
Ba  0.0000  0.0000  0.5000

## Properties
crystal system: monoclinic
ΔE_f (raw): -0.82 eV/atom
M_tot: 0.000 μB per formula unit
space-group type: C2/m (12)


Entry 17:
Material: BaSi2Pt
Method: DFT, SCAN
State: PBEsol geometry

Unit cell a=3.3534 b=3.3534 c=7.1946 alpha=90.00 beta=90.00 gamma=90.00
Fractional coordinates of all 4 atoms:
Si  0.0000  0.0000  0.6686
Si  0.0000  0.0000  0.3314
Ba  0.5000  0.5000  0.0000
Pt  0.5000  0.5000  0.5000

## Properties
crystal system: tetragonal
ΔE_f (raw): -0.24 eV/atom
M_tot: 0.000 μB per formula unit
space-group type: P4/mmm (123)


Entry 18:
Material: BaSi12Pt5
Method: DFT, SCAN
State: PBEsol geometry

Unit cell a=6.1016 b=6.1223 c=16.4739 alpha=100.71 beta=89.98 gamma=90.13
Fractional coordinates of all 36 atoms:
Pt  0.0000  0.0000  0.0000
Pt  0.5000  0.9244  0.8488
Pt  0.0000  0.7040  0.4080
Pt  0.5000  0.5000  0.0000
Pt  0.0000  0.4240  0.8480
Pt  0.0000  0.5760  0.1520
Pt  0.5000  0.7974  0.5948
Pt  0.5000  0.0756  0.1512
Pt  0.0000  0.2960  0.5920
Pt  0.5000  0.2026  0.4052
Si  0.8651  0.3580  0.4413
Si  0.1349  0.6420  0.5587
Si  0.7486  0.7881  0.0805
Si  0.4991  0.9192  0.2766
Si  0.8651  0.9167  0.5587
Si  0.4991  0.6427  0.7234
Si  0.6309  0.4217  0.5664
Si  0.7811  0.6371  0.2777
Si  0.2514  0.2119  0.9195
Si  0.7486  0.7076  0.9195
Si  0.2189  0.6406  0.2777
Si  0.5009  0.0808  0.7234
Si  0.1349  0.0833  0.4413
Si  0.7811  0.3594  0.7223
Si  0.5009  0.3573  0.2766
Si  0.2519  0.7877  0.0806
Si  0.3691  0.1447  0.5664
Si  0.2189  0.3629  0.7223
Si  0.7481  0.2929  0.0806
Si  0.2514  0.2924  0.0805
Si  0.2519  0.7071  0.9194
Si  0.6309  0.8553  0.4336
Si  0.3691  0.5783  0.4336
Si  0.7481  0.2123  0.9194
Ba  0.0000  0.1250  0.2500
Ba  0.0000  0.8750  0.7500

## Properties
crystal system: monoclinic
ΔE_f (raw): -0.61 eV/atom
M_tot: 0.000 μB per formula unit
space-group type: C2/m (12)


Entry 19:
Material: BaSi2Pt
Method: DFT, SCAN
State: PBEsol geometry

Unit cell a=2.9514 b=5.6794 c=5.6794 alpha=119.46 beta=90.00 gamma=90.00
Fractional coordinates of all 4 atoms:
Si  0.0000  0.5000  0.0000
Si  0.0000  0.0000  0.5000
Pt  0.5000  0.5000  0.5000
Ba  0.5000  0.0000  0.0000

## Properties
crystal system: orthorhombic
ΔE_f (raw): 0.52 eV/atom
M_tot: 0.000 μB per formula unit
space-group type: Cmmm (65)


Entry 20:
Material: Ba2SiPt
Method: DFT, SCAN
State: PBEsol geometry

Unit cell a=4.4479 b=5.0584 c=5.9646 alpha=115.09 beta=90.00 gamma=90.00
Fractional coordinates of all 4 atoms:
Pt  0.0000  0.7923  0.5845
Ba  0.5000  0.4005  0.8010
Ba  0.0000  0.0994  0.1988
Si  0.5000  0.7140  0.4280

## Properties
crystal system: orthorhombic
ΔE_f (raw): -0.76 eV/atom
M_tot: 0.000 μB per formula unit
space-group type: Amm2 (38)